VASP calculation (SCAN) on a PBEsol-optimized structure of CrHg2As.

D(E_F): 1.49 states/eV/f.u.
Energy of formation from the pure elements: 208 meV/atom

Lattice parameters (Å, degrees): 3.0934 4.9976 10.0280 90.00 90.00 90.00
Element x y z (fractional)
1 Cr 0.0000 0.0000 0.0000
2 Cr 0.5000 0.5000 0.5000
3 Hg 0.0000 0.5000 0.2626
4 Hg 0.0000 0.5000 0.7374
5 Hg 0.5000 0.0000 0.2374
6 Hg 0.5000 0.0000 0.7626
7 As 0.0000 0.0000 0.5000
8 As 0.5000 0.5000 0.0000